PbS2O | Alexandria via LeMat-Bulk | PBEsol | optimized geometry; Fermi-level density of states = 0.98 states/eV/f.u.; total magnetic moment = 0.000 μB per formula unit
1.0
1.9349 1.1171 6.2289
-1.9349 1.1171 6.2289
0.0000 -2.2342 6.2289
Pb S O
1 2 1
direct
0.0000 0.0000 0.0000
0.1546 0.1546 0.1546
0.8454 0.8454 0.8454
0.5000 0.5000 0.5000


Zn2Si3Pb4SO15 | Alexandria via LeMat-Bulk | PBEsol | optimized geometry; Fermi-level density of states = 0.00 states/eV/f.u.; total magnetic moment = 0.000 μB per formula unit
1.0
11.3155 0.0000 0.0000
0.0000 5.2483 0.0000
-3.8981 0.0000 11.9688
Zn Si Pb S O
4 6 8 2 30
direct
0.0802 0.0000 0.1476
0.3597 0.0280 0.8860
0.6403 0.5280 0.1140
0.9198 0.5000 0.8524
0.0765 0.9890 0.8753
0.3611 0.9464 0.3169
0.4847 0.5258 0.8446
0.5153 0.0258 0.1554
0.6389 0.4464 0.6831
0.9235 0.4890 0.1247
0.1501 0.5042 0.7152
0.1858 0.4935 0.3728
0.2663 0.6174 0.0600
0.4563 0.9609 0.6151
0.5437 0.4609 0.3849
0.7337 0.1174 0.9400
0.8142 0.9935 0.6272
0.8499 0.0042 0.2848
0.1479 0.0192 0.5329
0.8521 0.5192 0.4671
0.0460 0.0440 0.5814
0.0535 0.3403 0.1910
0.0638 0.2957 0.8509
0.1038 0.0247 0.4079
0.1128 0.9196 0.0088
0.1931 0.8707 0.8381
0.2179 0.7767 0.5708
0.2383 0.2362 0.5711
0.2380 0.8162 0.2268
0.3451 0.2462 0.3391
0.3552 0.3884 0.8473
0.3992 0.9388 0.0464
0.4025 0.7704 0.4298
0.4719 0.8331 0.8286
0.4797 0.9110 0.2654
0.5203 0.4110 0.7346
0.5281 0.3331 0.1714
0.5975 0.2704 0.5702
0.6008 0.4388 0.9536
0.6448 0.8884 0.1527
0.6549 0.7462 0.6609
0.7620 0.3162 0.7732
0.7617 0.7362 0.4289
0.7821 0.2767 0.4292
0.8069 0.3707 0.1619
0.8872 0.4196 0.9912
0.8962 0.5247 0.5921
0.9362 0.7957 0.1491
0.9465 0.8403 0.8090
0.9540 0.5440 0.4186


SnPbS2O | Alexandria via LeMat-Bulk | PBEsol | optimized geometry; Fermi-level density of states = 1.18 states/eV/f.u.; total magnetic moment = 0.000 μB per formula unit
1.0
5.0411 0.0000 0.0000
0.0000 5.0411 0.0000
0.0000 0.0000 3.9448
Sn Pb S O
1 1 2 1
direct
0.0000 0.0000 0.0000
0.5000 0.5000 0.5000
0.0000 0.5000 0.0000
0.5000 0.0000 0.0000
0.0000 0.0000 0.5000


Sb2PbO | Alexandria via LeMat-Bulk | PBEsol | optimized geometry; Fermi-level density of states = 1.53 states/eV/f.u.; total magnetic moment = 0.000 μB per formula unit
1.0
-2.8179 2.8179 6.7198
2.8179 -2.8179 6.7198
2.8179 2.8179 -6.7198
Sb Pb O
4 2 2
direct
0.3750 0.2380 0.3630
0.7620 0.1250 0.1370
0.8750 0.0120 0.6370
0.9880 0.6250 0.8630
0.2500 0.7500 0.5000
0.5000 0.5000 0.0000
0.0000 0.0000 0.0000
0.7500 0.2500 0.5000


SbPbO2 | Alexandria via LeMat-Bulk | PBEsol | optimized geometry; Fermi-level density of states = 1.39 states/eV/f.u.; total magnetic moment = 0.000 μB per formula unit
1.0
-2.7545 2.7545 5.3466
2.7545 -2.7545 5.3466
2.7545 2.7545 -5.3466
Sb Pb O
2 2 4
direct
0.0000 0.0000 0.0000
0.7500 0.2500 0.5000
0.2500 0.7500 0.5000
0.5000 0.5000 0.0000
0.0736 0.6250 0.9486
0.3750 0.3236 0.4486
0.6764 0.1250 0.0514
0.8750 0.9264 0.5514


ScSbPb2O6 | Alexandria via LeMat-Bulk | PBEsol | optimized geometry; Fermi-level density of states = 0.00 states/eV/f.u.; total magnetic moment = 0.000 μB per formula unit
1.0
-2.8593 4.0535 2.9063
2.8593 -4.0535 2.9063
2.8593 4.0535 -2.9063
Sc Sb Pb O
1 1 2 6
direct
0.0000 0.0000 0.0000
0.5149 0.0149 0.5000
0.2182 0.4609 0.7573
0.7036 0.4609 0.2427
0.2899 0.0485 0.7586
0.2899 0.5314 0.2414
0.2933 0.0383 0.2550
0.7710 0.0353 0.2643
0.7710 0.5067 0.7357
0.7832 0.0383 0.7450


Sn2Sb2Pb4O13 | Alexandria via LeMat-Bulk | PBEsol | optimized geometry; total magnetic moment = 0.000 μB per formula unit
1.0
-3.7348 3.7655 5.3049
3.7348 -3.7655 5.3049
3.7348 3.7655 -5.3049
Sn Sb Pb O
2 2 4 13
direct
0.0000 0.2495 0.2495
0.0000 0.7505 0.7505
0.0000 0.7506 0.2494
0.5012 0.7506 0.7506
0.0014 0.2507 0.7507
0.4985 0.2523 0.7538
0.4985 0.7447 0.2462
0.4999 0.2507 0.2493
0.0780 0.0676 0.3968
0.0780 0.6812 0.0104
0.0788 0.0788 0.0000
0.3194 0.8194 0.5000
0.3321 0.4310 0.5104
0.3321 0.8217 0.9011
0.6218 0.1218 0.5000
0.6708 0.0676 0.9896
0.6708 0.6812 0.6032
0.6831 0.6831 0.0000
0.9191 0.4191 0.5000
0.9206 0.4310 0.0989
0.9206 0.8217 0.4896


TmSbPb2O6 | Alexandria via LeMat-Bulk | PBEsol | optimized geometry; Fermi-level density of states = 0.00 states/eV/f.u.; total magnetic moment = 0.000 μB per formula unit; polymorph energy (0 for the lowest one) = 5 meV per atom
1.0
4.9934 -2.9030 0.0000
4.9934 2.9030 0.0000
-3.3821 0.0000 4.8067
Tm Sb Pb O
1 1 2 6
direct
0.0000 0.0000 0.0000
0.5000 0.5000 0.5000
0.2468 0.2468 0.7290
0.7532 0.7532 0.2710
0.2136 0.6971 0.6912
0.2629 0.2629 0.1904
0.3029 0.7864 0.3088
0.6971 0.2136 0.6912
0.7371 0.7371 0.8096
0.7864 0.3029 0.3088


TmSbPb2O6 | Alexandria via LeMat-Bulk | PBEsol | optimized geometry; Fermi-level density of states = 0.00 states/eV/f.u.; total magnetic moment = 0.000 μB per formula unit; polymorph energy (0 for the lowest one) = 0 meV per atom
1.0
5.0486 -2.9023 0.0000
5.0486 2.9023 0.0000
-3.2329 0.0000 9.5690
Tm Sb Pb O
2 2 4 12
direct
0.2494 0.7506 0.7500
0.7506 0.2494 0.2500
0.0000 0.5000 0.0000
0.5000 0.0000 0.5000
0.0908 0.6464 0.3736
0.3536 0.9092 0.1264
0.6464 0.0908 0.8736
0.9092 0.3536 0.6264
0.1096 0.6935 0.9137
0.1174 0.1787 0.8500
0.1787 0.1174 0.3500
0.3065 0.8904 0.5863
0.3315 0.3618 0.6190
0.3618 0.3315 0.1190
0.6382 0.6685 0.8810
0.6685 0.6382 0.3810
0.6935 0.1096 0.4137
0.8213 0.8826 0.6500
0.8826 0.8213 0.1500
0.8904 0.3065 0.0863


Zr2Sb2Pb4O13 | Alexandria via LeMat-Bulk | PBEsol | optimized geometry; Fermi-level density of states = 0.00 states/eV/f.u.; total magnetic moment = 0.000 μB per formula unit
1.0
-3.7682 3.7779 5.3329
3.7682 -3.7779 5.3329
3.7682 3.7779 -5.3329
Zr Sb Pb O
2 2 4 13
direct
0.2490 0.0000 0.2490
0.7510 0.0000 0.7510
0.2497 0.0003 0.7507
0.2497 0.4990 0.2493
0.2538 0.5017 0.7521
0.7491 0.0024 0.2534
0.7491 0.4957 0.7466
0.7496 0.5017 0.2479
0.1814 0.6814 0.5000
0.1832 0.0793 0.5148
0.1832 0.6683 0.1039
0.3142 0.3286 0.3919
0.3142 0.9223 0.9856
0.3163 0.3163 0.0000
0.5644 0.0793 0.8961
0.5644 0.6683 0.4852
0.5850 0.0850 0.5000
0.8796 0.3796 0.5000
0.9227 0.9227 0.0000
0.9367 0.3286 0.0144
0.9367 0.9223 0.6081


ScPbO2 | Alexandria via LeMat-Bulk | PBEsol | optimized geometry; Fermi-level density of states = 0.52 states/eV/f.u.; total magnetic moment = 0.000 μB per formula unit
1.0
1.6157 0.9328 6.8748
-1.6157 0.9328 6.8748
0.0000 -1.8657 6.8748
Sc Pb O
1 1 2
direct
0.0000 0.0000 0.0000
0.5000 0.5000 0.5000
0.3833 0.3833 0.3833
0.6167 0.6167 0.6167


ScTaPb2O6 | Alexandria via LeMat-Bulk | PBEsol | optimized geometry; Fermi-level density of states = 0.00 states/eV/f.u.; total magnetic moment = 0.000 μB per formula unit
1.0
0.0000 4.0539 4.0539
4.0539 0.0000 4.0539
4.0539 4.0539 0.0000
Sc Ta Pb O
1 1 2 6
direct
0.0000 0.0000 0.0000
0.5000 0.5000 0.5000
0.2500 0.2500 0.2500
0.7500 0.7500 0.7500
0.2557 0.2557 0.7443
0.2557 0.7443 0.2557
0.2557 0.7443 0.7443
0.7443 0.2557 0.2557
0.7443 0.2557 0.7443
0.7443 0.7443 0.2557


Respective energy relative to the elements, uncorrected values: 1.801; -47.567; -2.829; -0.650; -2.625; -18.944; -30.875; -19.362; -19.408; -41.174; -9.702; -23.679 eV/f.u..